Entry 1:
Computed, not measured: a geometry-optimized PmSc4Pt5 structure at the GGA-PBE level of DFT.

Lattice parameters (Å, degrees): 3.3271 3.3271 17.0366 90.00 90.00 90.00
Closest atoms and distances in Å follow each position.
Space group P4/mmm (No. 123)
Asymmetric unit:
Pm (0.0000, 0.0000, 0.0000) (multiplicity 1)  8 Pt 3.16, 4 Pm 3.33
Sc (0.0000, 0.0000, 0.2115) (multiplicity 2)  8 Pt 2.79-2.90
Sc (0.0000, 0.0000, 0.4046) (multiplicity 2)  8 Pt 2.84-2.86
Pt (0.5000, 0.5000, 0.1239) (multiplicity 2)  4 Sc 2.79
Pt (0.5000, 0.5000, 0.3111) (multiplicity 2)  8 Sc 2.84-2.90
Pt (0.5000, 0.5000, 0.5000) (multiplicity 1)  8 Sc 2.86

- Total DFT energy (no corrections): -7.23 eV/atom
- Size of the total moment: 0.0 μB per cell



Entry 2:
Computed, not measured: a geometry-optimized Ce2Tl3AgS6 structure at the GGA-PBE level of DFT.

Lattice parameters (Å, degrees): 6.9523 12.3327 7.7780 90.00 106.46 90.00
Closest atoms and distances in Å follow each position.
Space group C2/m (No. 12)
Asymmetric unit:
Ce (0.0000, 0.1663, 0.0000) (multiplicity 4)  6 S 2.73-2.76
Tl (0.0000, 0.0000, 0.5000) (multiplicity 2)  6 S 3.22-3.30
Tl (0.0000, 0.3414, 0.5000) (multiplicity 4)  6 S 3.14-3.27
Ag (0.0000, 0.5000, 0.0000) (multiplicity 2)  6 S 2.73-3.00
S (0.2244, 0.0000, 0.1899) (multiplicity 4)  1 Ag 2.73, 2 Ce 2.74
S (0.2470, 0.3194, 0.2107) (multiplicity 8)  2 Ce 2.73-2.76, 1 Ag 3.00

- Formation energy (no corrections): -1.04 eV/atom
- Size of the total moment: 0.0 μB per cell



Entry 3:
Computed, not measured: a geometry-optimized BaPd2Au2 structure at the GGA-PBE level of DFT.

Lattice parameters (Å, degrees): 4.4347 4.4347 11.8735 90.00 90.00 90.00
Closest atoms and distances in Å follow each position.
Space group I4/mmm (No. 139)
Asymmetric unit:
Ba (0.0000, 0.0000, 0.0000) (multiplicity 2)  8 Au 3.41, 8 Pd 3.71
Pd (0.0000, 0.5000, 0.2500) (multiplicity 4)  4 Au 2.75
Au (0.0000, 0.0000, 0.3864) (multiplicity 4)  1 Au 2.70, 4 Pd 2.75

- Energy relative to the lowest polymorph listed for this composition: 7 meV per atom
- Size of the total moment: 0.0 μB per cell



Entry 4:
Computed, not measured: a geometry-optimized Pr2GaIr structure at the GGA-PBE level of DFT.

Lattice parameters (Å, degrees): 4.1255 4.1255 28.6315 90.00 90.00 120.00
Closest atoms and distances in Å follow each position.
Space group R-3m (No. 166, hexagonal axes)
Asymmetric unit:
Pr (0.0000, 0.0000, 0.1122) (multiplicity 6)  3 Ir 2.85
Ga (0.0000, 0.0000, 0.0000) (multiplicity 3)  2 Pr 3.21
Ir (0.0000, 0.0000, 0.5000) (multiplicity 3)  6 Pr 2.85

- Total DFT energy (no corrections): -5.51 eV/atom
- Size of the total moment: 0.0 μB per cell



Entry 5:
Computed, not measured: a geometry-optimized TbEr2In9 structure at the GGA-PBE level of DFT.

Lattice parameters (Å, degrees): 4.6298 4.6298 13.8826 90.00 90.00 90.00
Closest atoms and distances in Å follow each position.
Space group P4/mmm (No. 123)
Asymmetric unit:
Tb (0.0000, 0.0000, 0.0000) (multiplicity 1)  12 In 3.27-3.29
Er (0.0000, 0.0000, 0.3337) (multiplicity 2)  12 In 3.26-3.27
In (0.0000, 0.5000, 0.1679) (multiplicity 4)  8 In 3.26-3.29, 2 Er 3.26, 2 Tb 3.29
In (0.0000, 0.5000, 0.5000) (multiplicity 2)  4 Er 3.27, 8 In 3.27
In (0.5000, 0.5000, 0.0000) (multiplicity 1)  4 Tb 3.27, 8 In 3.29
In (0.5000, 0.5000, 0.3336) (multiplicity 2)  8 In 3.26-3.27, 4 Er 3.27

- Total DFT energy (no corrections): -3.60 eV/atom
- Size of the total moment: 0.0 μB per cell



Entry 6:
Computed, not measured: a geometry-optimized CsTl2S2 structure at the GGA-PBE level of DFT.

Lattice parameters (Å, degrees): 5.4188 5.4188 10.6935 90.00 90.00 90.00
Closest atoms and distances in Å follow each position.
Space group I4/mmm (No. 139)
Asymmetric unit:
Cs (0.0000, 0.0000, 0.0000) (multiplicity 2)  10 Tl 3.73-4.16, 8 S 3.81
Tl (0.0000, 0.0000, 0.3487) (multiplicity 4)  4 S 2.91, 1 Tl 3.24
S (0.0000, 0.5000, 0.2500) (multiplicity 4)  4 Tl 2.91

- Formation energy (no corrections): -0.48 eV/atom
- Energy relative to the lowest polymorph listed for this composition: 36 meV per atom
- Size of the total moment: 0.0 μB per cell